Version A
Below is TbNdCoNi after structural relaxation, with properties calculated at the PBE-GGA level.

Cell lengths 3.965, 3.896, 10.843 Å; angles 90.00, 90.00, 90.00 degrees
Sites, in units of the cell vectors:
Tb  0.000  0.000  0.000
Tb  0.000  0.500  0.500
Nd  0.500  0.000  0.720
Nd  0.500  0.500  0.220
Co  0.000  0.000  0.298
Co  0.000  0.500  0.798
Ni  0.500  0.000  0.431
Ni  0.500  0.500  0.931

Values from the calculation:
Crystal system: orthorhombic


Version B
Below is TbNdCoNi after structural relaxation, with properties calculated at the PBE-GGA level.

Cell lengths 6.843, 6.843, 6.843 Å; angles 90.00, 90.00, 90.00 degrees
Sites, in units of the cell vectors:
Tb  0.000  0.000  0.000
Tb  0.000  0.500  0.500
Tb  0.500  0.000  0.500
Tb  0.500  0.500  0.000
Nd  0.000  0.000  0.500
Nd  0.000  0.500  0.000
Nd  0.500  0.000  0.000
Nd  0.500  0.500  0.500
Co  0.250  0.250  0.250
Co  0.250  0.750  0.750
Co  0.750  0.250  0.750
Co  0.750  0.750  0.250
Ni  0.250  0.250  0.750
Ni  0.250  0.750  0.250
Ni  0.750  0.250  0.250
Ni  0.750  0.750  0.750

Values from the calculation:
Crystal system: cubic


Of them, version A has the highest stability.


Version A
Below is NdCo2Os after structural relaxation, with properties calculated at the PBE-GGA level.

Cell lengths 4.161, 4.161, 14.724 Å; angles 90.00, 90.00, 120.00 degrees
Sites, in units of the cell vectors:
Nd  0.000  0.000  0.000
Nd  0.333  0.667  0.667
Nd  0.667  0.333  0.333
Co  0.000  0.000  0.192
Co  0.000  0.000  0.808
Co  0.333  0.667  0.475
Co  0.333  0.667  0.859
Co  0.667  0.333  0.141
Co  0.667  0.333  0.525
Os  0.000  0.000  0.500
Os  0.333  0.667  0.167
Os  0.667  0.333  0.833

Values from the calculation:
Crystal system: trigonal


Version B
Below is NdCo2Os after structural relaxation, with properties calculated at the PBE-GGA level.

Cell lengths 5.423, 6.768, 4.174 Å; angles 90.00, 90.00, 90.00 degrees
Sites, in units of the cell vectors:
Nd  0.000  0.000  0.000
Nd  0.500  0.500  0.000
Co  0.000  0.323  0.500
Co  0.000  0.677  0.500
Co  0.500  0.177  0.500
Co  0.500  0.823  0.500
Os  0.000  0.500  0.000
Os  0.500  0.000  0.000

Values from the calculation:
Crystal system: orthorhombic


Of them, version A has the highest stability.